Entry 1:
First-principles (GGA-PBE) data for crystalline SiHg3 at its relaxed geometry, as listed in Alexandria.

Unit cell a=5.780 b=7.794 c=10.670 alpha=90.00 beta=90.00 gamma=90.00
Atoms (fractional coordinates):
1 Hg 0.238 0.322 0.750
2 Hg 0.189 0.473 0.075
3 Hg 0.811 0.527 0.925
4 Si 0.480 0.435 0.250
5 Hg 0.262 0.822 0.750
6 Hg 0.311 0.973 0.075
7 Hg 0.689 0.027 0.925
8 Si 0.020 0.935 0.250
9 Hg 0.738 0.178 0.250
10 Hg 0.189 0.473 0.425
11 Hg 0.811 0.527 0.575
12 Si 0.980 0.065 0.750
13 Hg 0.762 0.678 0.250
14 Si 0.520 0.565 0.750
15 Hg 0.311 0.973 0.425
16 Hg 0.689 0.027 0.575

Computed properties:
- space group = Pnma
- E_tot (eV/atom) = -1.370
- energy relative to the elements, uncorrected (eV/atom) = 0.212
- distance to the lowest polymorph of the same formula (meV per atom) = 37

Entry 2:
First-principles (GGA-PBE) data for crystalline SiHg2 at its relaxed geometry, as listed in Alexandria.

Unit cell a=4.764 b=3.804 c=8.756 alpha=90.00 beta=105.37 gamma=90.00
Atoms (fractional coordinates):
1 Si 0.039 0.250 0.582
2 Hg 0.213 0.750 0.926
3 Si 0.961 0.750 0.418
4 Hg 0.787 0.250 0.074
5 Hg 0.595 0.250 0.697
6 Hg 0.405 0.750 0.303

Computed properties:
- space group = P2_1/m
- E_tot (eV/atom) = -1.821
- energy relative to the elements, uncorrected (eV/atom) = 0.188
- distance to the lowest polymorph of the same formula (meV per atom) = 11

Entry 3:
First-principles (GGA-PBE) data for crystalline Si5Hg at its relaxed geometry, as listed in Alexandria.

Unit cell a=5.285 b=5.285 c=4.309 alpha=90.00 beta=90.00 gamma=120.00
Atoms (fractional coordinates):
1 Si 0.500 0.000 0.000
2 Hg 0.000 0.000 0.500
3 Si 0.333 0.667 0.500
4 Si 0.000 0.500 0.000
5 Si 0.500 0.500 0.000
6 Si 0.667 0.333 0.500

Computed properties:
- space group = P6/mmm
- E_tot (eV/atom) = -4.021
- energy relative to the elements, uncorrected (eV/atom) = 0.548
- distance to the lowest polymorph of the same formula (meV per atom) = 96

Number 1: total magnetic moment 0.0 μB/f.u.. Number 2: total magnetic moment 0.0 μB/f.u.. Number 3: total magnetic moment 0.0 μB/f.u..